[1]
Density functional theory data (PBE-GGA) for an optimized crystal structure of In2IO.

abc: 5.2120 5.2120 5.2120
angles: 60.00 60.00 60.00
With the nearest neighbours (Å) after each atom.
Positions (direct):
In: 0.2500 0.2500 0.2500  4 O 3.19, 4 I 3.19
In: 0.7500 0.7500 0.7500  4 O 3.19, 4 I 3.19
I: 0.0000 0.0000 0.0000  8 In 3.19
O: 0.5000 0.5000 0.5000  8 In 3.19

Results
ΔE_f (raw) = 42 kJ/mol of formula units
crystal system = cubic
symmetry = No. 225
density = 6.18 g/cm³

[2]
Density functional theory data (PBE-GGA) for an optimized crystal structure of Ac6TlCo2Br3.

abc: 10.8405 10.8405 9.8109
angles: 107.84 107.84 22.74
With the nearest neighbours (Å) after each atom.
Positions (direct):
Ac: 0.0341 0.0341 0.2715  1 Co 2.80
Ac: 0.3142 0.3142 0.4403  3 Co 2.86-2.95
Ac: 0.3328 0.3328 0.8639  2 Co 2.94
Ac: 0.6672 0.6672 0.1361  2 Co 2.94
Ac: 0.6858 0.6858 0.5597  3 Co 2.86-2.95
Ac: 0.9659 0.9659 0.7285  1 Co 2.80
Tl: 0.5000 0.5000 0.0000  6 Ac 3.31-3.38
Co: 0.1725 0.1725 0.3457  6 Ac 2.80-2.95
Co: 0.8275 0.8275 0.6543  6 Ac 2.80-2.95
Br: 0.1698 0.1698 0.8471  5 Ac 3.42-3.64
Br: 0.5000 0.5000 0.5000  4 Ac 3.34
Br: 0.8302 0.8302 0.1529  5 Ac 3.42-3.64

Results
ΔE_f (raw) = -868 kJ/mol of formula units
crystal system = monoclinic
symmetry = No. 12
density = 7.55 g/cm³

[3]
Density functional theory data (PBE-GGA) for an optimized crystal structure of Er3TmMg8.

abc: 6.0343 6.0343 9.7023
angles: 90.00 90.00 120.00
With the nearest neighbours (Å) after each atom.
Positions (direct):
Er: 0.0000 0.0000 0.0000  12 Mg 3.49-3.54, 4 Er 3.61-3.70
Er: 0.0000 0.0000 0.3724  12 Mg 3.48-3.54, 1 Er 3.61, 3 Tm 3.70
Er: 0.3333 0.6667 0.8719  12 Mg 3.49-3.54, 1 Tm 3.61, 3 Er 3.70
Tm: 0.3333 0.6667 0.4998  12 Mg 3.48-3.54, 4 Er 3.61-3.70
Mg: 0.0085 0.5042 0.1861  6 Mg 2.94-3.09
Mg: 0.3248 0.1624 0.6859  6 Mg 2.94-3.09
Mg: 0.4958 0.5042 0.1861  6 Mg 2.94-3.09
Mg: 0.4958 0.9915 0.1861  6 Mg 2.94-3.09
Mg: 0.6667 0.3333 0.4360  6 Mg 3.01
Mg: 0.6667 0.3333 0.9359  6 Mg 3.01
Mg: 0.8376 0.1624 0.6859  6 Mg 2.94-3.09
Mg: 0.8376 0.6752 0.6859  6 Mg 2.94-3.09

Results
formation energy from the elements = -0.058 eV/atom
crystal system = trigonal
symmetry = No. 156
density = 4.70 g/cm³

[4]
Density functional theory data (PBE-GGA) for an optimized crystal structure of SiSnTe2Se.

abc: 5.3375 5.3375 4.8748
angles: 90.00 90.00 90.00
With the nearest neighbours (Å) after each atom.
Positions (direct):
Si: 0.0000 0.0000 0.0000  2 Se 2.44, 4 Te 2.67
Sn: 0.5000 0.5000 0.5000  8 Te 3.61, 4 Se 3.77
Te: 0.0000 0.5000 0.0000  2 Si 2.67
Te: 0.5000 0.0000 0.0000  2 Si 2.67
Se: 0.0000 0.0000 0.5000  2 Si 2.44

Results
ΔE_f (raw) = 97 kJ/mol of formula units
crystal system = tetragonal
symmetry = No. 123
density = 5.75 g/cm³

[5]
Density functional theory data (PBE-GGA) for an optimized crystal structure of La6Tb5Sm.

abc: 9.7010 9.7010 9.7010
angles: 148.68 117.34 71.73
With the nearest neighbours (Å) after each atom.
Positions (direct):
La: 0.0826 0.3331 0.7496  7 Tb 3.63-3.64, 1 Sm 3.64, 4 La 3.70-3.71
La: 0.2492 0.0000 0.2492  6 Tb 3.63-3.65, 2 Sm 3.64, 4 La 3.71
La: 0.4165 0.6669 0.7496  7 Tb 3.63-3.64, 1 Sm 3.64, 4 La 3.70-3.71
La: 0.5835 0.3331 0.2504  7 Tb 3.63-3.64, 1 Sm 3.64, 4 La 3.70-3.71
La: 0.7508 0.0000 0.7508  6 Tb 3.63-3.65, 2 Sm 3.64, 4 La 3.71
La: 0.9174 0.6669 0.2504  7 Tb 3.63-3.64, 1 Sm 3.64, 4 La 3.70-3.71
Tb: 0.0000 0.5000 0.5000  8 La 3.63-3.64, 4 Tb 3.70
Tb: 0.1666 0.1666 0.0000  8 La 3.63-3.64, 4 Tb 3.70
Tb: 0.3329 0.8329 0.5000  8 La 3.63-3.65, 2 Tb 3.70, 2 Sm 3.71
Tb: 0.6671 0.1671 0.5000  8 La 3.63-3.65, 2 Tb 3.70, 2 Sm 3.71
Tb: 0.8334 0.8334 0.0000  8 La 3.63-3.64, 4 Tb 3.70
Sm: 0.5000 0.5000 0.0000  8 La 3.64, 4 Tb 3.71

Results
formation energy from the elements = 0.021 eV/atom
crystal system = orthorhombic
symmetry = No. 71
density = 7.11 g/cm³

[6]
Density functional theory data (PBE-GGA) for an optimized crystal structure of Cs2SnMoPd.

abc: 6.3130 6.3130 4.8380
angles: 90.00 90.00 90.00
With the nearest neighbours (Å) after each atom.
Positions (direct):
Cs: 0.0000 0.5000 0.0000  2 Mo 3.16
Cs: 0.5000 0.0000 0.0000  2 Mo 3.16
Sn: 0.0000 0.0000 0.5000  8 Cs 3.98
Mo: 0.5000 0.5000 0.0000  2 Pd 2.42
Pd: 0.5000 0.5000 0.5000  2 Mo 2.42

Results
formation energy from the elements = 1.258 eV/atom
crystal system = tetragonal
symmetry = No. 123
density = 5.05 g/cm³

[7]
Density functional theory data (PBE-GGA) for an optimized crystal structure of CdWSe2.

abc: 7.3079 7.3079 7.3079
angles: 150.21 150.21 42.64
With the nearest neighbours (Å) after each atom.
Positions (direct):
Cd: 0.0000 0.0000 0.0000  4 Se 2.66
W: 0.7500 0.2500 0.5000  4 Se 2.66
Se: 0.2500 0.7500 0.5000  4 W 2.66
Se: 0.5000 0.5000 0.0000  4 Cd 2.66

Results
ΔE_f (raw) = 276 kJ/mol of formula units
crystal system = tetragonal
symmetry = No. 119
density = 7.85 g/cm³

[8]
Density functional theory data (PBE-GGA) for an optimized crystal structure of TiTl2F.

abc: 4.9095 4.9095 4.9095
angles: 60.00 60.00 60.00
With the nearest neighbours (Å) after each atom.
Positions (direct):
Ti: 0.0000 0.0000 0.0000  8 Tl 3.01
Tl: 0.2500 0.2500 0.2500  4 F 3.01, 4 Ti 3.01
Tl: 0.7500 0.7500 0.7500  4 Ti 3.01, 4 F 3.01
F: 0.5000 0.5000 0.5000  8 Tl 3.01

Results
ΔE_f (raw) = -59 kJ/mol of formula units
crystal system = cubic
symmetry = No. 225
density = 9.44 g/cm³

[9]
Density functional theory data (PBE-GGA) for an optimized crystal structure of LiRuRh.

abc: 7.1489 6.9125 2.6626
angles: 84.13 74.13 21.75
With the nearest neighbours (Å) after each atom.
Positions (direct):
Li: 0.0000 0.0000 0.0000  2 Rh 2.61, 6 Li 2.66-2.74, 2 Ru 2.68
Ru: 0.6701 0.6701 0.3299  2 Rh 2.63, 6 Ru 2.66-2.74, 2 Li 2.68
Rh: 0.3358 0.3358 0.6642  2 Li 2.61, 2 Ru 2.63, 6 Rh 2.66-2.74

Results
formation energy from the elements = 0.204 eV/atom
crystal system = orthorhombic
symmetry = No. 42
density = 8.25 g/cm³

[10]
Density functional theory data (PBE-GGA) for an optimized crystal structure of CoSeS.

abc: 5.6665 5.6665 5.6665
angles: 90.00 90.00 90.00
With the nearest neighbours (Å) after each atom.
Positions (direct):
Co: 0.0100 0.0100 0.0100  3 S 2.31, 3 Se 2.40
Co: 0.4900 0.9900 0.5100  3 S 2.31, 3 Se 2.40
Co: 0.5100 0.4900 0.9900  3 S 2.31, 3 Se 2.40
Co: 0.9900 0.5100 0.4900  3 S 2.31, 3 Se 2.40
Se: 0.1234 0.6234 0.8766  1 S 2.38, 3 Co 2.40
Se: 0.3766 0.3766 0.3766  1 S 2.38, 3 Co 2.40
Se: 0.6234 0.8766 0.1234  1 S 2.38, 3 Co 2.40
Se: 0.8766 0.1234 0.6234  1 S 2.38, 3 Co 2.40
S: 0.1195 0.8805 0.3805  3 Co 2.31, 1 Se 2.38
S: 0.3805 0.1195 0.8805  3 Co 2.31, 1 Se 2.38
S: 0.6195 0.6195 0.6195  3 Co 2.31, 1 Se 2.38
S: 0.8805 0.3805 0.1195  3 Co 2.31, 1 Se 2.38

Results
ΔE_f (raw) = -85 kJ/mol of formula units
crystal system = cubic
symmetry = No. 198
density = 6.20 g/cm³

[11]
Density functional theory data (PBE-GGA) for an optimized crystal structure of CsDyCdBr6.

abc: 7.3366 7.3366 8.1226
angles: 90.00 90.00 120.00
With the nearest neighbours (Å) after each atom.
Positions (direct):
Cs: 0.0000 0.0000 0.0000  6 Br 3.69
Dy: 0.3333 0.6667 0.5000  6 Br 2.82
Cd: 0.6667 0.3333 0.5000  6 Br 2.82
Br: 0.0006 0.3793 0.7019  1 Dy 2.82, 1 Cd 2.82
Br: 0.0006 0.6213 0.2981  1 Dy 2.82, 1 Cd 2.82
Br: 0.3787 0.3793 0.2981  1 Dy 2.82, 1 Cd 2.82
Br: 0.3787 0.9994 0.7019  1 Dy 2.82, 1 Cd 2.82
Br: 0.6207 0.6213 0.7019  1 Dy 2.82, 1 Cd 2.82
Br: 0.6207 0.9994 0.2981  1 Dy 2.82, 1 Cd 2.82

Results
ΔE_f (raw) = -1340 kJ/mol of formula units
crystal system = trigonal
symmetry = No. 149
density = 3.89 g/cm³

[12]
Density functional theory data (PBE-GGA) for an optimized crystal structure of RuRh2Cl.

abc: 5.2711 5.2711 5.2711
angles: 149.11 127.59 62.08
With the nearest neighbours (Å) after each atom.
Positions (direct):
Ru: 0.0000 0.0000 0.0000  4 Rh 2.70, 4 Cl 2.72, 2 Ru 2.81
Rh: 0.2554 0.7554 0.5000  2 Cl 2.62, 2 Ru 2.70, 6 Rh 2.72-2.81
Rh: 0.7446 0.2446 0.5000  2 Cl 2.62, 2 Ru 2.70, 6 Rh 2.72-2.81
Cl: 0.5000 0.5000 0.0000  4 Rh 2.62, 4 Ru 2.72, 2 Cl 2.81

Results
ΔE_f (raw) = 239 kJ/mol of formula units
crystal system = orthorhombic
symmetry = No. 71
density = 9.63 g/cm³

Please write out number 7 again, unchanged.
Density functional theory data (PBE-GGA) for an optimized crystal structure of CdWSe2.

abc: 7.3079 7.3079 7.3079
angles: 150.21 150.21 42.64
With the nearest neighbours (Å) after each atom.
Positions (direct):
Cd: 0.0000 0.0000 0.0000  4 Se 2.66
W: 0.7500 0.2500 0.5000  4 Se 2.66
Se: 0.2500 0.7500 0.5000  4 W 2.66
Se: 0.5000 0.5000 0.0000  4 Cd 2.66

Results
ΔE_f (raw) = 276 kJ/mol of formula units
crystal system = tetragonal
symmetry = No. 119
density = 7.85 g/cm³

Please write out number 6 again, unchanged.
Density functional theory data (PBE-GGA) for an optimized crystal structure of Cs2SnMoPd.

abc: 6.3130 6.3130 4.8380
angles: 90.00 90.00 90.00
With the nearest neighbours (Å) after each atom.
Positions (direct):
Cs: 0.0000 0.5000 0.0000  2 Mo 3.16
Cs: 0.5000 0.0000 0.0000  2 Mo 3.16
Sn: 0.0000 0.0000 0.5000  8 Cs 3.98
Mo: 0.5000 0.5000 0.0000  2 Pd 2.42
Pd: 0.5000 0.5000 0.5000  2 Mo 2.42

Results
formation energy from the elements = 1.258 eV/atom
crystal system = tetragonal
symmetry = No. 123
density = 5.05 g/cm³

- Among the records above, which one has the lowest density?
  CsDyCdBr6

- Which value of density does entry 10 give?
  6.20 g/cm³